## Ba2Zn3Au9 (GGA-PBE)

Data for crystalline Ba2Zn3Au9 at its relaxed geometry.

```
Ba2Zn3Au9
1.0
2.355 -6.990 -3.418
-3.114 0.039 7.510
-10.240 3.420 -4.109
Ba Zn Au
4 6 18
direct
0.334 0.250 0.750
0.666 0.750 0.250
0.001 0.585 0.750
0.999 0.415 0.250
0.500 0.000 0.000
0.500 0.500 0.500
0.863 0.182 0.500
0.137 0.818 0.500
0.182 0.363 0.000
0.818 0.637 0.000
0.458 0.916 0.750
0.542 0.084 0.250
0.666 0.708 0.750
0.334 0.292 0.250
0.481 0.666 0.938
0.519 0.334 0.062
0.228 0.542 0.562
0.772 0.458 0.438
0.878 0.128 0.750
0.122 0.872 0.250
0.101 0.976 0.928
0.899 0.024 0.072
0.548 0.173 0.572
0.452 0.827 0.428
0.853 0.855 0.561
0.147 0.145 0.439
0.794 0.292 0.939
0.206 0.708 0.061
```

* DOS at the Fermi energy: 9.3 states/eV/cell
* energy relative to the elements: -5.31 eV/f.u.